! meta-GGA SCAN K2SrOs, PBEsol geometry; values from VASP
&SYSTEM
  ibrav = 0, nat = 4, ntyp = 3
/
ATOMIC_SPECIES
K 39.10 K.upf
Os 190.23 Os.upf
Sr 87.62 Sr.upf
ATOMIC_POSITIONS crystal
K 0.250 0.250 0.250
K 0.750 0.750 0.750
Os 0.000 0.000 0.000
Sr 0.500 0.500 0.500
CELL_PARAMETERS angstrom
5.559 0.000 0.000
2.779 4.814 0.000
2.779 1.605 4.539
! * space-group type: Fm-3m, No. 225
! * ΔH_f (0 K): 1.355 eV/atom
! * calculated total energy: -26.348 eV/atom



! meta-GGA SCAN KSrOs2, PBEsol geometry; values from VASP
&SYSTEM
  ibrav = 0, nat = 4, ntyp = 3
/
ATOMIC_SPECIES
Os 190.23 Os.upf
K 39.10 K.upf
Sr 87.62 Sr.upf
ATOMIC_POSITIONS crystal
Os 0.000 0.000 0.911
Os 0.500 0.500 0.821
K 0.500 0.500 0.176
Sr 0.000 0.000 0.591
CELL_PARAMETERS angstrom
-0.045 -2.579 -2.127
2.209 -1.591 1.940
-7.323 -4.028 5.039
! * space-group type: Cmm2, No. 35
! * ΔH_f (0 K): 0.688 eV/atom
! * calculated total energy: -42.903 eV/atom



! meta-GGA SCAN K3SrOs, PBEsol geometry; values from VASP
&SYSTEM
  ibrav = 0, nat = 5, ntyp = 3
/
ATOMIC_SPECIES
Sr 87.62 Sr.upf
K 39.10 K.upf
Os 190.23 Os.upf
ATOMIC_POSITIONS crystal
Sr 0.000 0.000 0.000
K 0.000 0.500 0.000
K 0.500 0.000 0.000
K 0.000 0.000 0.500
Os 0.500 0.500 0.500
CELL_PARAMETERS angstrom
7.352 0.000 0.000
0.000 7.352 0.000
0.000 0.000 7.352
! * space-group type: Pm-3m, No. 221
! * ΔH_f (0 K): 2.021 eV/atom
! * calculated total energy: -21.807 eV/atom



! meta-GGA SCAN K2SrOs, PBEsol geometry; values from VASP
&SYSTEM
  ibrav = 0, nat = 4, ntyp = 3
/
ATOMIC_SPECIES
Sr 87.62 Sr.upf
Os 190.23 Os.upf
K 39.10 K.upf
ATOMIC_POSITIONS crystal
Sr 0.500 0.000 0.500
Os 0.000 0.500 0.500
K 0.732 0.718 0.000
K 0.268 0.282 0.000
CELL_PARAMETERS angstrom
-2.837 0.246 1.225
2.405 -0.657 5.354
0.720 6.149 0.431
! * space-group type: P2/m, No. 10
! * ΔH_f (0 K): 1.217 eV/atom
! * calculated total energy: -26.486 eV/atom



Among the records above, which one has the lowest ΔH_f (0 K)? KSrOs2



Repeat the fourth record exactly.
! meta-GGA SCAN K2SrOs, PBEsol geometry; values from VASP
&SYSTEM
  ibrav = 0, nat = 4, ntyp = 3
/
ATOMIC_SPECIES
Sr 87.62 Sr.upf
Os 190.23 Os.upf
K 39.10 K.upf
ATOMIC_POSITIONS crystal
Sr 0.500 0.000 0.500
Os 0.000 0.500 0.500
K 0.732 0.718 0.000
K 0.268 0.282 0.000
CELL_PARAMETERS angstrom
-2.837 0.246 1.225
2.405 -0.657 5.354
0.720 6.149 0.431
! * space-group type: P2/m, No. 10
! * ΔH_f (0 K): 1.217 eV/atom
! * calculated total energy: -26.486 eV/atom



What did the first record say?
! meta-GGA SCAN K2SrOs, PBEsol geometry; values from VASP
&SYSTEM
  ibrav = 0, nat = 4, ntyp = 3
/
ATOMIC_SPECIES
K 39.10 K.upf
Os 190.23 Os.upf
Sr 87.62 Sr.upf
ATOMIC_POSITIONS crystal
K 0.250 0.250 0.250
K 0.750 0.750 0.750
Os 0.000 0.000 0.000
Sr 0.500 0.500 0.500
CELL_PARAMETERS angstrom
5.559 0.000 0.000
2.779 4.814 0.000
2.779 1.605 4.539
! * space-group type: Fm-3m, No. 225
! * ΔH_f (0 K): 1.355 eV/atom
! * calculated total energy: -26.348 eV/atom



What is the formula in the fourth record? K2SrOs